TaFeRu2C after structural relaxation, computed with GGA-PBE.

Unit cell a=4.047 b=4.047 c=3.839 alpha=90.00 beta=90.00 gamma=90.00
Space group P4/mmm (No. 123)
Unique sites:
Ta: 0.000 0.000 0.000 (multiplicity 1)
Fe: 0.500 0.500 0.000 (multiplicity 1)
Ru: 0.000 0.500 0.500 (multiplicity 2)
C: 0.500 0.500 0.500 (multiplicity 1)

Results
The value obtained for the formation enthalpy at 0 K is -6.5 kJ/mol of atoms.

TaFe2RuC after structural relaxation, computed with GGA-PBE.

Unit cell a=3.835 b=3.835 c=4.002 alpha=90.00 beta=90.00 gamma=90.00
Space group P4/mmm (No. 123)
Unique sites:
Ta: 0.000 0.000 0.000 (multiplicity 1)
Fe: 0.000 0.500 0.500 (multiplicity 2)
Ru: 0.500 0.500 0.000 (multiplicity 1)
C: 0.500 0.500 0.500 (multiplicity 1)

Results
The value obtained for the formation enthalpy at 0 K is -7.2 kJ/mol of atoms.

TiFe2RuC after structural relaxation, computed with GGA-PBE.

Unit cell a=3.780 b=3.780 c=3.994 alpha=90.00 beta=90.00 gamma=90.00
Space group P4/mmm (No. 123)
Unique sites:
Ti: 0.000 0.000 0.000 (multiplicity 1)
Fe: 0.000 0.500 0.500 (multiplicity 2)
Ru: 0.500 0.500 0.000 (multiplicity 1)
C: 0.500 0.500 0.500 (multiplicity 1)

Results
The value obtained for the formation enthalpy at 0 K is -20.6 kJ/mol of atoms.

V2FeRuC after structural relaxation, computed with GGA-PBE.

Unit cell a=3.966 b=3.966 c=3.699 alpha=90.00 beta=90.00 gamma=90.00
Space group P4/mmm (No. 123)
Unique sites:
V: 0.000 0.500 0.000 (multiplicity 2)
Fe: 0.000 0.000 0.500 (multiplicity 1)
Ru: 0.500 0.500 0.500 (multiplicity 1)
C: 0.000 0.000 0.000 (multiplicity 1)

Results
The value obtained for the formation enthalpy at 0 K is -12.0 kJ/mol of atoms.

ZnFeRuC2 after structural relaxation, computed with GGA-PBE.

Unit cell a=3.636 b=3.636 c=4.735 alpha=90.00 beta=90.00 gamma=90.00
Space group P4/mmm (No. 123)
Unique sites:
Zn: 0.000 0.000 0.000 (multiplicity 1)
Fe: 0.000 0.000 0.500 (multiplicity 1)
Ru: 0.500 0.500 0.000 (multiplicity 1)
C: 0.000 0.500 0.500 (multiplicity 2)

Results
The value obtained for the formation enthalpy at 0 K is 151.5 kJ/mol of atoms.

ZnFeRu2C after structural relaxation, computed with GGA-PBE.

Unit cell a=4.046 b=4.046 c=3.774 alpha=90.00 beta=90.00 gamma=90.00
Space group P4/mmm (No. 123)
Unique sites:
Zn: 0.000 0.000 0.000 (multiplicity 1)
Fe: 0.500 0.500 0.000 (multiplicity 1)
Ru: 0.000 0.500 0.500 (multiplicity 2)
C: 0.500 0.500 0.500 (multiplicity 1)

Results
The value obtained for the formation enthalpy at 0 K is 10.9 kJ/mol of atoms.

ZnFe2RuC after structural relaxation, computed with GGA-PBE.

Unit cell a=3.816 b=3.816 c=4.025 alpha=90.00 beta=90.00 gamma=90.00
Space group P4/mmm (No. 123)
Unique sites:
Zn: 0.000 0.000 0.000 (multiplicity 1)
Fe: 0.000 0.500 0.500 (multiplicity 2)
Ru: 0.500 0.500 0.000 (multiplicity 1)
C: 0.500 0.500 0.500 (multiplicity 1)

Results
The value obtained for the formation enthalpy at 0 K is 3.9 kJ/mol of atoms.

ZrFe2RuC after structural relaxation, computed with GGA-PBE.

Unit cell a=3.882 b=3.882 c=4.059 alpha=90.00 beta=90.00 gamma=90.00
Space group P4/mmm (No. 123)
Unique sites:
Zr: 0.000 0.000 0.000 (multiplicity 1)
Fe: 0.000 0.500 0.500 (multiplicity 2)
Ru: 0.500 0.500 0.000 (multiplicity 1)
C: 0.500 0.500 0.500 (multiplicity 1)

Results
The value obtained for the formation enthalpy at 0 K is -20.7 kJ/mol of atoms.

Fe2CS after structural relaxation, computed with GGA-PBE.

Unit cell a=4.591 b=4.591 c=9.126 alpha=90.00 beta=90.00 gamma=90.00
Space group I-42d (No. 122)
Unique sites:
Fe: 0.196 0.250 0.125 (multiplicity 8)
C: 0.000 0.000 0.000 (multiplicity 4)
S: 0.000 0.000 0.500 (multiplicity 4)

Results
The calculation puts the energy at -7.455 eV per atom.

Fe3CS after structural relaxation, computed with GGA-PBE.

Unit cell a=3.760 b=3.760 c=3.760 alpha=90.00 beta=90.00 gamma=90.00
Space group Pm-3m (No. 221)
Unique sites:
Fe: 0.000 0.000 0.500 (multiplicity 3)
C: 0.000 0.000 0.000 (multiplicity 1)
S: 0.500 0.500 0.500 (multiplicity 1)

Results
The calculation puts the energy at -7.312 eV per atom.

FeCS3 after structural relaxation, computed with GGA-PBE.

Unit cell a=3.976 b=3.976 c=3.976 alpha=90.00 beta=90.00 gamma=90.00
Space group Pm-3m (No. 221)
Unique sites:
Fe: 0.000 0.000 0.000 (multiplicity 1)
C: 0.500 0.500 0.500 (multiplicity 1)
S: 0.000 0.500 0.500 (multiplicity 3)

Results
The calculation puts the energy at -4.568 eV per atom.

Fe2CS4 after structural relaxation, computed with GGA-PBE.

Unit cell a=3.966 b=3.966 c=12.866 alpha=90.00 beta=90.00 gamma=90.00
Space group I4/mmm (No. 139)
Unique sites:
Fe: 0.000 0.000 0.134 (multiplicity 4)
C: 0.000 0.000 0.500 (multiplicity 2)
S: 0.000 0.000 0.316 (multiplicity 4)
S: 0.000 0.500 0.000 (multiplicity 4)

Results
The calculation puts the energy at -5.180 eV per atom.

FeC3S after structural relaxation, computed with GGA-PBE.

Unit cell a=3.530 b=3.530 c=3.530 alpha=90.00 beta=90.00 gamma=90.00
Space group Pm-3m (No. 221)
Unique sites:
Fe: 0.000 0.000 0.000 (multiplicity 1)
C: 0.000 0.500 0.500 (multiplicity 3)
S: 0.500 0.500 0.500 (multiplicity 1)

Results
The calculation puts the energy at -5.433 eV per atom.

FeC3S after structural relaxation, computed with GGA-PBE.

Unit cell a=3.773 b=3.773 c=3.773 alpha=90.00 beta=90.00 gamma=90.00
Space group Pm-3m (No. 221)
Unique sites:
Fe: 0.000 0.000 0.000 (multiplicity 1)
C: 0.000 0.000 0.500 (multiplicity 3)
S: 0.500 0.500 0.500 (multiplicity 1)

Results
The calculation puts the energy at -5.930 eV per atom.

Fe2CS after structural relaxation, computed with GGA-PBE.

Unit cell a=5.315 b=5.315 c=5.315 alpha=90.00 beta=90.00 gamma=90.00
Space group Fm-3m (No. 225)
Unique sites:
Fe: 0.250 0.250 0.250 (multiplicity 8)
C: 0.000 0.000 0.000 (multiplicity 4)
S: 0.000 0.000 0.500 (multiplicity 4)

Results
The calculation puts the energy at -6.803 eV per atom.

FeCS3 after structural relaxation, computed with GGA-PBE.

Unit cell a=4.336 b=4.336 c=4.336 alpha=90.00 beta=90.00 gamma=90.00
Space group Pm-3m (No. 221)
Unique sites:
Fe: 0.000 0.000 0.000 (multiplicity 1)
C: 0.500 0.500 0.500 (multiplicity 1)
S: 0.000 0.000 0.500 (multiplicity 3)

Results
The calculation puts the energy at -4.293 eV per atom.

FeCSe2S after structural relaxation, computed with GGA-PBE.

Unit cell a=4.825 b=4.825 c=3.998 alpha=90.00 beta=90.00 gamma=90.00
Space group P4/mmm (No. 123)
Unique sites:
Fe: 0.000 0.000 0.000 (multiplicity 1)
C: 0.500 0.500 0.500 (multiplicity 1)
Se: 0.000 0.500 0.000 (multiplicity 2)
S: 0.000 0.000 0.500 (multiplicity 1)

Results
The calculation puts the energy at -4.168 eV per atom.

VFeCS2 after structural relaxation, computed with GGA-PBE.

Unit cell a=4.524 b=4.524 c=3.476 alpha=90.00 beta=90.00 gamma=90.00
Space group P4/mmm (No. 123)
Unique sites:
V: 0.000 0.000 0.000 (multiplicity 1)
Fe: 0.500 0.500 0.500 (multiplicity 1)
C: 0.500 0.500 0.000 (multiplicity 1)
S: 0.000 0.500 0.500 (multiplicity 2)

Results
The calculation puts the energy at -6.251 eV per atom.

FeSb3C after structural relaxation, computed with GGA-PBE.

Unit cell a=4.821 b=4.821 c=4.821 alpha=90.00 beta=90.00 gamma=90.00
Space group Pm-3m (No. 221)
Unique sites:
Fe: 0.000 0.000 0.000 (multiplicity 1)
Sb: 0.000 0.000 0.500 (multiplicity 3)
C: 0.500 0.500 0.500 (multiplicity 1)

Results
The calculation puts the energy at -4.485 eV per atom.

FeSbC3 after structural relaxation, computed with GGA-PBE.

Unit cell a=4.178 b=4.178 c=4.178 alpha=90.00 beta=90.00 gamma=90.00
Space group Pm-3m (No. 221)
Unique sites:
Fe: 0.000 0.000 0.000 (multiplicity 1)
Sb: 0.500 0.500 0.500 (multiplicity 1)
C: 0.000 0.500 0.500 (multiplicity 3)

Results
The calculation puts the energy at -4.710 eV per atom.